First-principles (PBE) data for TaMn2Cu after structural relaxation, as listed in the Alexandria database.

Cell lengths 3.130, 3.130, 5.630 Å; angles 90.00, 90.00, 90.00 degrees
Space group P4/mmm (No. 123)
Unique sites:
Ta: 0.000 0.000 0.000
Mn: 0.500 0.500 0.255
Cu: 0.000 0.000 0.500

Computed properties:
- ΔE_f: 0.323 eV per formula unit
- E_tot: -8.491 eV/atom

---

First-principles (PBE) data for AcCoAs2Rh after structural relaxation, as listed in the Alexandria database.

Cell lengths 4.176, 4.176, 11.303 Å; angles 90.00, 90.00, 90.00 degrees
Space group I-4m2 (No. 119)
Unique sites:
Ac: 0.000 0.000 0.000
Co: 0.000 0.500 0.250
As: 0.000 0.000 0.361
Rh: 0.000 0.500 0.750

Computed properties:
- ΔE_f: -3.825 eV per formula unit
- E_tot: -6.338 eV/atom

---

First-principles (PBE) data for TcPtW2 after structural relaxation, as listed in the Alexandria database.

Cell lengths 9.274, 2.779, 4.897 Å; angles 90.00, 99.35, 90.00 degrees
Space group Cm (No. 8)
Unique sites:
Tc: 0.000 0.000 0.000
Pt: 0.248 0.500 0.264
W: 0.250 0.000 0.769
W: 0.496 0.000 0.495

Computed properties:
- ΔE_f: 0.009 eV per formula unit
- E_tot: -10.576 eV/atom

---

First-principles (PBE) data for PaAg2Cl8 after structural relaxation, as listed in the Alexandria database.

Cell lengths 16.733, 10.395, 11.487 Å; angles 90.00, 130.61, 90.00 degrees
Space group C2/c (No. 15)
Unique sites:
Pa: 0.000 0.249 0.250
Ag: 0.249 0.408 0.996
Cl: 0.105 0.250 0.535
Cl: 0.121 0.425 0.277
Cl: 0.122 0.074 0.279
Cl: 0.125 0.251 0.960

Computed properties:
- E_form (uncorrected): -1.14 eV/atom
- E_tot: -3.870 eV/atom

---

First-principles (PBE) data for Na2TeS3 after structural relaxation, as listed in the Alexandria database.

Cell lengths 13.023, 5.812, 7.814 Å; angles 90.00, 107.48, 90.00 degrees
Space group C2/c (No. 15)
Unique sites:
Na: 0.168 0.003 0.084
Te: 0.000 0.466 0.250
S: 0.000 0.057 0.250
S: 0.150 0.498 0.575

Computed properties:
- E_form (uncorrected): -0.63 eV/atom
- E_tot: -3.655 eV/atom

---

First-principles (PBE) data for Rb4U3GaN8 after structural relaxation, as listed in the Alexandria database.

Cell lengths 12.371, 6.789, 7.765 Å; angles 90.00, 120.40, 90.00 degrees
Space group C2/m (No. 12)
Unique sites:
Rb: 0.000 0.000 0.000
Rb: 0.000 0.500 0.000
Rb: 0.250 0.250 0.000
U: 0.000 0.000 0.500
U: 0.250 0.250 0.500
Ga: 0.000 0.500 0.500
N: 0.036 0.252 0.351
N: 0.215 0.000 0.653
N: 0.248 0.500 0.669

Computed properties:
- E_form (uncorrected): -0.65 eV/atom
- E_tot: -7.365 eV/atom

---

For reference, total moment by record: 4.22, 1.40, 0.00, 1.01, 0.00, 1.07 μB per formula unit.
For reference, V by record: 55.2, 98.6, 62.3, 379.2, 141.0, 281.3 Å³/f.u..